Entry 1:
The following is a meta-GGA SCAN calculation of a crystal of Re3P4 relaxed with PBEsol, from Alexandria via LeMat-Bulk.

extended XYZ file:
```
7
Lattice="6.079 -1.494 0.000 6.079 1.494 0.000 -2.448 0.000 5.511" Properties=species:S:1:pos:R:3 pbc="T T T"
Re 0.000 0.000 0.000
Re 2.426 0.000 1.757
Re 7.283 0.000 3.754
P -0.053 0.000 2.403
P 4.201 0.000 0.141
P 5.508 0.000 5.370
P 9.762 0.000 3.109
```

## Properties
The total energy comes out at -36.804 eV/atom. The mass density is 11324 kg/m3.

---

Entry 2:
The following is a meta-GGA SCAN calculation of a crystal of Re2P relaxed with PBEsol, from Alexandria via LeMat-Bulk.

extended XYZ file:
```
6
Lattice="4.358 0.000 0.000 -2.179 3.774 0.000 0.000 0.000 4.996" Properties=species:S:1:pos:R:3 pbc="T T T"
Re 0.000 0.000 0.000
Re 0.000 0.000 2.498
Re 0.000 2.516 1.249
Re 2.179 1.258 3.747
P 0.000 2.516 3.747
P 2.179 1.258 1.249
```

## Properties
The total energy comes out at -50.335 eV/atom. The mass density is 16306 kg/m3.

---

Results for spin magnetization: 0.00, 0.00 (in μB per atom, following the order of the records).